(1)
This record from the Alexandria database describes an optimized crystal structure of MnZn2Pb. The functional is PBE.

For the total DFT energy (no corrections), the calculation gives -3.57 eV/atom. Its density of states at the Fermi level is 0.620 states/eV/atom. The value obtained for the formation energy is 283 meV/atom.

The space group is Immm (No. 71) and the conventional cell measures 3.0442, 4.9045 and 10.1216 Å, with angles of 90.00, 90.00 and 90.00 degrees. The asymmetric unit holds Mn at (0.0000, 0.0000, 0.0000), Zn at (0.0000, 0.5000, 0.2823) and Pb at (0.0000, 0.0000, 0.5000).

***

(2)
This record from the Alexandria database describes an optimized crystal structure of SiSnOs3. The functional is PBE.

Its energy relative to the lowest polymorph listed for this composition is 1817 meV/atom. The calculation puts the raw formation energy at 65.367 kcal/mol of atoms. For the total DFT energy (no corrections), the calculation gives -5.79 eV/atom. Its density of states at the Fermi level is 1.167 states/eV/atom.

The space group is Pm-3m (No. 221) and the conventional cell measures 4.8484, 4.8484 and 4.8484 Å, with angles of 90.00, 90.00 and 90.00 degrees. The asymmetric unit holds Si at (0.0000, 0.0000, 0.0000), Sn at (0.5000, 0.5000, 0.5000) and Os at (0.0000, 0.5000, 0.5000).

***

(3)
This record from the Alexandria database describes an optimized crystal structure of Y2AgCl. The functional is PBE.

Its energy relative to the lowest polymorph listed for this composition is 302 meV/atom. The calculation puts the raw formation energy at -10.658 kcal/mol of atoms. For the total DFT energy (no corrections), the calculation gives -4.87 eV/atom. Its density of states at the Fermi level is 0.475 states/eV/atom.

The space group is I-4m2 (No. 119) and the conventional cell measures 4.0900, 4.0900 and 12.3440 Å, with angles of 90.00, 90.00 and 90.00 degrees. The asymmetric unit holds Y at (0.0000, 0.0000, 0.0000), Y at (0.0000, 0.5000, 0.2500), Ag at (0.0000, 0.5000, 0.7500) and Cl at (0.0000, 0.0000, 0.5000).